A | HfGeSe2N after structural relaxation, computed with PBE-GGA.

Output
DOS at the Fermi energy = 2.4 states/eV/cell
M_tot = 0.000 μB per cell

Unit cell a=5.1130 b=5.1130 c=3.5271 alpha=90.00 beta=90.00 gamma=90.00
Space group P4/mmm (No. 123)
Symmetry-distinct sites (fractional):
Hf 0.0000 0.0000 0.0000 x1
Ge 0.5000 0.5000 0.5000 x1
Se 0.0000 0.5000 0.5000 x2
N 0.5000 0.5000 0.0000 x1



B | HfGeSe2N after structural relaxation, computed with PBE-GGA.

Output
DOS at the Fermi energy = 2.2 states/eV/cell
M_tot = 0.721 μB per cell

Unit cell a=5.2955 b=5.2955 c=4.0141 alpha=90.00 beta=90.00 gamma=90.00
Space group P4/mmm (No. 123)
Symmetry-distinct sites (fractional):
Hf 0.0000 0.0000 0.0000 x1
Ge 0.5000 0.5000 0.5000 x1
Se 0.0000 0.5000 0.0000 x2
N 0.0000 0.0000 0.5000 x1



Stability check: which of them is least stable? A.



A | HfGeSeN2 after structural relaxation, computed with PBE-GGA.

Output
DOS at the Fermi energy = 1.3 states/eV/cell
M_tot = 0.000 μB per cell

Unit cell a=3.8663 b=3.8663 c=4.8566 alpha=90.00 beta=90.00 gamma=90.00
Space group P4/mmm (No. 123)
Symmetry-distinct sites (fractional):
Hf 0.0000 0.0000 0.0000 x1
Ge 0.5000 0.5000 0.5000 x1
Se 0.5000 0.5000 0.0000 x1
N 0.0000 0.5000 0.5000 x2



B | HfGeSeN2 after structural relaxation, computed with PBE-GGA.

Output
DOS at the Fermi energy = 2.9 states/eV/cell
M_tot = 0.731 μB per cell

Unit cell a=4.1094 b=4.1094 c=5.5284 alpha=90.00 beta=90.00 gamma=90.00
Space group P4/mmm (No. 123)
Symmetry-distinct sites (fractional):
Hf 0.0000 0.0000 0.0000 x1
Ge 0.5000 0.5000 0.5000 x1
Se 0.0000 0.0000 0.5000 x1
N 0.0000 0.5000 0.0000 x2



Stability check: which of them is least stable? A.